(1)
## PmThNi2 (PBE-GGA)

Data for PmThNi2 after structural relaxation.

```
PmThNi2
1.0
-0.372 4.660 -1.556
-2.256 1.001 -4.265
-4.381 2.255 0.000
Pm Th Ni
1 1 2
Direct
0.500 0.500 0.500
0.000 0.000 0.000
0.250 0.250 0.250
0.750 0.750 0.750
```

Summary:
DFT formation energy, meV per atom: -256

---

(2)
## TlTc2Ru (PBE-GGA)

Data for TlTc2Ru after structural relaxation.

```
TlTc2Ru
1.0
9.297 -0.016 -0.010
8.858 2.824 -0.010
8.858 1.370 2.470
Tc Ru Tl
2 1 1
Direct
0.007 0.007 0.007
0.493 0.493 0.493
0.750 0.750 0.750
0.250 0.250 0.250
```

Summary:
DFT formation energy, meV per atom: 525

---

(3)
## Rb4Cd4Au (PBE-GGA)

Data for Rb4Cd4Au after structural relaxation.

```
Rb4Cd4Au
1.0
7.038 0.000 0.000
0.000 10.454 0.000
0.000 0.000 10.454
Rb Cd Au
8 8 2
Direct
0.858 0.302 0.068
0.642 0.802 0.568
0.142 0.068 0.698
0.858 0.698 0.932
0.142 0.932 0.302
0.358 0.568 0.198
0.642 0.198 0.432
0.358 0.432 0.802
0.844 0.453 0.651
0.656 0.953 0.151
0.844 0.547 0.349
0.344 0.849 0.953
0.156 0.651 0.547
0.156 0.349 0.453
0.656 0.047 0.849
0.344 0.151 0.047
0.000 0.000 0.000
0.500 0.500 0.500
```

Summary:
DFT formation energy, meV per atom: -84

---

(4)
## BaSr2Au2 (PBE-GGA)

Data for BaSr2Au2 after structural relaxation.

```
BaSr2Au2
1.0
-0.123 4.624 2.143
-4.897 0.487 -1.332
-4.429 -0.283 6.420
Sr Ba Au
2 1 2
Direct
0.250 0.750 0.500
0.750 0.250 0.500
0.000 0.000 0.000
0.395 0.395 0.210
0.605 0.605 0.790
```

Summary:
DFT formation energy, meV per atom: -531

---

Number 1: density of states at the Fermi level 3.9 states/eV per cell. Number 2: density of states at the Fermi level 4.4 states/eV per cell. Number 3: density of states at the Fermi level 10.7 states/eV per cell. Number 4: density of states at the Fermi level 2.8 states/eV per cell.